Record 1
DFT (PBE) results for a relaxed Rb3U2PaSe6 crystal.

Cell: 7.2839 7.2839 8.5100 Å, 98.20 98.20 120.00°
Each line ends with the local moment (μB).
Atoms (fractional coordinates):
1 Se 0.9329 0.6020 0.7989  -0.04
2 Se 0.6020 0.9329 0.7989  -0.04
3 Se 0.2639 0.2639 0.7989  -0.04
4 Se 0.0671 0.3980 0.2011  -0.04
5 Se 0.3980 0.0671 0.2011  -0.04
6 Se 0.7361 0.7361 0.2011  -0.04
7 Rb 0.5000 0.5000 0.5000  0.00
8 Rb 0.8328 0.1672 0.5000  0.00
9 Rb 0.1672 0.8328 0.5000  0.00
10 U 0.3333 0.6667 0.0000  2.78
11 U 0.6667 0.3333 0.0000  2.78
12 Pa 0.0000 0.0000 0.0000  1.39

Output
Total moment   8.02 μB per cell
Symmetry   C2/m
D(E_F)   10.35 states/eV/cell
Energy   -70.80 eV/f.u.

Record 2
DFT (PBE) results for a relaxed NbAgBrCl6 crystal.

Cell: 7.3275 6.7919 7.8137 Å, 79.86 68.87 56.91°
Atoms (fractional coordinates):
1 Ag 0.6792 0.6379 0.4896
2 Cl 0.5445 0.3442 0.6712
3 Cl 0.6700 0.0186 0.3081
4 Cl 0.3169 0.0200 0.6853
5 Cl 0.9799 0.6094 0.7186
6 Cl 0.4025 0.6096 0.2946
7 Cl 0.1145 0.3412 0.3306
8 Nb 0.3229 0.3541 0.5033
9 Br 0.9694 0.0650 0.9986

Output
Total moment   0.00 μB per cell
Symmetry   P1
D(E_F)   1.20 states/eV/cell
Energy   -32.90 eV/f.u.

Record 3
DFT (PBE) results for a relaxed NaTiSeBr2 crystal.

Cell: 5.3220 5.3220 4.9441 Å, 90.00 90.00 90.00°
Each line ends with the local moment (μB).
Atoms (fractional coordinates):
1 Se 0.0000 0.0000 0.5000  -0.07
2 Br 0.5000 0.0000 0.0000  0.00
3 Br 0.0000 0.5000 0.0000  0.00
4 Na 0.5000 0.5000 0.5000  0.00
5 Ti 0.0000 0.0000 0.0000  0.94

Output
Total moment   0.99 μB per cell
Symmetry   P4/mmm
D(E_F)   2.89 states/eV/cell
Excess energy over the best structure of this formula in the dataset   0.0000 eV per atom

Record 4
DFT (PBE) results for a relaxed AcPm6Pr2 crystal.

Cell: 6.3608 6.3608 18.2481 Å, 90.00 90.00 90.00°
Atoms (fractional coordinates):
1 Pr 0.0000 0.0000 0.8504
2 Pr 0.5000 0.5000 0.3504
3 Pr 0.5000 0.5000 0.6496
4 Pr 0.0000 0.0000 0.1496
5 Pm 0.8228 0.1772 0.6836
6 Pm 0.1772 0.8228 0.3164
7 Pm 0.3228 0.3228 0.8164
8 Pm 0.3326 0.3326 0.5000
9 Pm 0.6674 0.6674 0.5000
10 Pm 0.1674 0.8326 0.0000
11 Pm 0.8228 0.1772 0.3164
12 Pm 0.6772 0.6772 0.8164
13 Pm 0.6772 0.6772 0.1836
14 Pm 0.3228 0.3228 0.1836
15 Pm 0.1772 0.8228 0.6836
16 Pm 0.8326 0.1674 0.0000
17 Ac 0.5000 0.5000 0.0000
18 Ac 0.0000 0.0000 0.5000

Output
Total moment   0.00 μB per cell
Symmetry   P4_2/mnm
DFT formation energy   801 meV/atom
D(E_F)   30.37 states/eV/cell
Excess energy over the best structure of this formula in the dataset   0.7759 eV per atom